Here is a relaxed structure of LiNi2W2 from Alexandria via LeMat-Bulk. Energies are from PBE.

```
LiNi2W2
1.0
-1.534 -1.145 -7.026
-6.460 -2.795 1.866
-1.096 2.428 -0.156
Li Ni W
2 4 4
direct
0.000 0.000 0.000 Li
0.500 0.500 0.000 Li
0.378 0.878 0.000 Ni
0.622 0.122 0.000 Ni
0.878 0.622 0.000 Ni
0.122 0.378 0.000 Ni
0.172 0.672 0.500 W
0.828 0.328 0.500 W
0.672 0.828 0.500 W
0.328 0.172 0.500 W
```

Output
Space-group type   No. 127
Formation enthalpy at 0 K   0.2831 eV per atom
Electronic total energy   -7.593 eV per atom
Volume   14.147 Å³/atom

Here is a relaxed structure of Ag12Sn6Au from Alexandria via LeMat-Bulk. Energies are from PBE.

```
Ag12Sn6Au
1.0
7.599 -0.339 -0.407
-1.487 7.459 -0.407
-1.487 -1.733 7.267
Au Ag Sn
1 12 6
direct
0.000 0.000 0.000 Au
0.620 0.187 0.550 Ag
0.550 0.620 0.187 Ag
0.747 0.237 0.967 Ag
0.237 0.967 0.747 Ag
0.253 0.763 0.033 Ag
0.187 0.550 0.620 Ag
0.967 0.747 0.237 Ag
0.763 0.033 0.253 Ag
0.380 0.813 0.450 Ag
0.033 0.253 0.763 Ag
0.813 0.450 0.380 Ag
0.450 0.380 0.813 Ag
0.196 0.146 0.438 Sn
0.438 0.196 0.146 Sn
0.804 0.854 0.562 Sn
0.562 0.804 0.854 Sn
0.854 0.562 0.804 Sn
0.146 0.438 0.196 Sn
```

Output
Space-group type   No. 148
Formation enthalpy at 0 K   0.0441 eV per atom
Electronic total energy   -3.193 eV per atom
Volume   20.900 Å³/atom

Here is a relaxed structure of InB from Alexandria via LeMat-Bulk. Energies are from PBE.

```
InB
1.0
9.577 0.000 0.000
-4.789 8.294 0.000
0.000 0.000 3.163
B In
6 6
direct
0.497 0.993 0.750 B
0.007 0.503 0.750 B
0.503 0.007 0.250 B
0.503 0.497 0.250 B
0.993 0.497 0.250 B
0.497 0.503 0.750 B
0.649 0.825 0.750 In
0.825 0.649 0.250 In
0.175 0.825 0.750 In
0.825 0.175 0.250 In
0.175 0.351 0.750 In
0.351 0.175 0.250 In
```

Output
Space-group type   No. 194
Polymorph energy (0 for the lowest one)   11.3 kJ/mol of atoms
Formation enthalpy at 0 K   0.4799 eV per atom
Electronic total energy   -4.228 eV per atom
Volume   20.935 Å³/atom

Here is a relaxed structure of Hf5BeTc4 from Alexandria via LeMat-Bulk. Energies are from PBE.

```
Hf5BeTc4
1.0
3.272 0.000 0.000
0.000 3.272 0.000
0.000 0.000 15.979
Hf Tc Be
5 4 1
direct
0.500 0.500 0.704 Hf
0.500 0.500 0.904 Hf
0.500 0.500 0.096 Hf
0.500 0.500 0.500 Hf
0.500 0.500 0.296 Hf
0.000 0.000 0.809 Tc
0.000 0.000 0.191 Tc
0.000 0.000 0.602 Tc
0.000 0.000 0.398 Tc
0.000 0.000 0.000 Be
```

Output
Space-group type   No. 123
Formation enthalpy at 0 K   -0.4121 eV per atom
Electronic total energy   -9.908 eV per atom
Volume   17.111 Å³/atom

Here is a relaxed structure of ZnCd2Si from Alexandria via LeMat-Bulk. Energies are from PBE.

```
ZnCd2Si
1.0
-1.736 -1.715 -4.716
4.797 1.982 -1.123
1.170 -2.547 0.494
Cd Zn Si
2 1 1
direct
0.500 0.500 0.000 Cd
0.000 0.000 0.000 Cd
0.000 0.500 0.500 Zn
0.500 0.000 0.500 Si
```

Output
Space-group type   No. 65
Polymorph energy (0 for the lowest one)   4.1 kJ/mol of atoms
Formation energy (no corrections)   1.1 eV per formula unit
Electronic total energy   -1.866 eV per atom
Volume   19.537 Å³/atom

Here is a relaxed structure of Tb3SmY2S6 from Alexandria via LeMat-Bulk. Energies are from PBE.

```
Tb3SmY2S6
1.0
6.828 -0.013 -0.001
-3.423 5.907 -0.001
-1.137 -1.968 6.427
S Tb Y Sm
6 3 2 1
direct
0.255 0.255 0.749 S
0.916 0.577 0.748 S
0.423 0.084 0.252 S
0.577 0.916 0.748 S
0.084 0.423 0.252 S
0.745 0.745 0.251 S
0.164 0.836 0.500 Tb
0.836 0.164 0.500 Tb
0.500 0.500 0.500 Tb
0.666 0.334 0.000 Y
0.334 0.666 0.000 Y
0.000 0.000 0.000 Sm
```

Output
Space-group type   No. 12
Formation energy (no corrections)   -24.1 eV per formula unit
Electronic total energy   -6.703 eV per atom
Volume   21.577 Å³/atom

Here is a relaxed structure of SmCdP from Alexandria via LeMat-Bulk. Energies are from PBE.

```
SmCdP
1.0
4.824 0.000 0.000
2.412 4.178 0.000
2.412 1.393 8.435
Cd P Sm
2 2 2
direct
0.180 0.180 0.461 Cd
0.820 0.820 0.539 Cd
0.716 0.716 0.852 P
0.284 0.284 0.148 P
0.606 0.606 0.181 Sm
0.394 0.394 0.819 Sm
```

Output
Space-group type   No. 166
Formation enthalpy at 0 K   -0.7072 eV per atom
Electronic total energy   -4.389 eV per atom
Volume   28.333 Å³/atom

Here is a relaxed structure of NdDyHgPd from Alexandria via LeMat-Bulk. Energies are from PBE.

```
NdDyHgPd
1.0
-4.730 -1.703 1.326
-3.197 -1.889 -3.639
-1.064 -5.087 -0.138
Dy Nd Hg Pd
1 1 1 1
direct
0.250 0.250 0.250 Dy
0.750 0.750 0.750 Nd
0.500 0.500 0.500 Hg
0.000 0.000 0.000 Pd
```

Output
Space-group type   No. 216
Formation enthalpy at 0 K   -0.5979 eV per atom
Electronic total energy   -4.314 eV per atom
Volume   24.845 Å³/atom

Here is a relaxed structure of PdRu2Se from Alexandria via LeMat-Bulk. Energies are from PBE.

```
PdRu2Se
1.0
5.316 0.000 0.000
0.000 5.316 0.000
2.658 2.658 5.979
Se Pd Ru
2 2 4
direct
0.250 0.750 0.500 Se
0.500 0.500 0.000 Se
0.000 0.000 0.000 Pd
0.750 0.250 0.500 Pd
0.150 0.625 0.250 Ru
0.875 0.850 0.750 Ru
0.375 0.400 0.750 Ru
0.600 0.125 0.250 Ru
```

Output
Space-group type   No. 122
Formation energy (no corrections)   3.3 eV per formula unit
Electronic total energy   -5.979 eV per atom
Volume   21.124 Å³/atom

Here is a relaxed structure of LiSm2ZrS5 from Alexandria via LeMat-Bulk. Energies are from PBE.

```
LiSm2ZrS5
1.0
-2.009 2.950 -1.458
-5.488 -3.746 5.082
3.544 6.771 8.818
S Sm Li Zr
10 4 2 2
direct
0.716 0.431 0.161 S
0.691 0.383 0.852 S
0.284 0.569 0.661 S
0.641 0.283 0.500 S
0.949 0.898 0.563 S
0.309 0.617 0.352 S
0.503 0.006 0.278 S
0.051 0.102 0.063 S
0.497 0.994 0.778 S
0.359 0.717 0.000 S
0.130 0.261 0.298 Sm
0.110 0.220 0.692 Sm
0.870 0.739 0.798 Sm
0.890 0.780 0.192 Sm
0.487 0.975 0.474 Li
0.513 0.025 0.974 Li
0.196 0.391 0.006 Zr
0.804 0.609 0.506 Zr
```

Output
Space-group type   No. 36
Formation energy (no corrections)   -15.9 eV per formula unit
Electronic total energy   -6.271 eV per atom
Volume   20.345 Å³/atom

Here is a relaxed structure of Sm4Se3O4 from Alexandria via LeMat-Bulk. Energies are from PBE.

```
Sm4Se3O4
1.0
6.731 -0.002 0.000
-5.556 3.799 0.000
0.000 0.000 8.416
Sm Se O
4 3 4
direct
0.997 0.003 0.000 Sm
0.985 0.015 0.500 Sm
0.319 0.681 0.239 Sm
0.319 0.681 0.761 Sm
0.683 0.317 0.000 Se
0.646 0.354 0.348 Se
0.646 0.354 0.652 Se
0.387 0.613 0.500 O
0.913 0.087 0.245 O
0.913 0.087 0.755 O
0.410 0.590 0.000 O
```

Output
Space-group type   No. 38
Polymorph energy (0 for the lowest one)   0.0 kJ/mol of atoms
Formation energy (no corrections)   -30.7 eV per formula unit
Electronic total energy   -7.259 eV per atom
Volume   19.560 Å³/atom

Here is a relaxed structure of Sm3AlHg4 from Alexandria via LeMat-Bulk. Energies are from PBE.

```
Sm3AlHg4
1.0
3.768 0.000 0.000
0.000 9.253 0.000
-1.884 -4.626 6.285
Hg Sm Al
4 3 1
direct
0.375 0.610 0.749 Hg
0.625 0.861 0.251 Hg
0.375 0.139 0.749 Hg
0.625 0.390 0.251 Hg
0.200 0.200 0.399 Sm
0.000 0.500 0.000 Sm
0.800 0.800 0.601 Sm
0.500 0.000 0.000 Al
```

Output
Space-group type   No. 71
Formation enthalpy at 0 K   -0.3160 eV per atom
Electronic total energy   -2.704 eV per atom
Volume   27.390 Å³/atom

Here is a relaxed structure of La8Br4N3O from Alexandria via LeMat-Bulk. Energies are from PBE.

```
La8Br4N3O
1.0
-5.920 -1.325 -4.615
-2.062 -7.002 4.644
0.449 6.528 3.860
La Br N O
8 4 3 1
direct
0.771 0.319 0.543 La
0.771 0.319 0.049 La
0.229 0.681 0.951 La
0.273 0.318 0.545 La
0.727 0.682 0.455 La
0.277 0.320 0.049 La
0.229 0.681 0.457 La
0.723 0.680 0.951 La
0.500 0.000 0.000 Br
0.000 0.000 0.500 Br
0.000 0.000 0.000 Br
0.500 0.000 0.500 Br
0.500 0.500 0.000 N
0.000 0.500 0.500 N
0.500 0.500 0.500 N
0.000 0.500 0.000 O
```

Output
Space-group type   No. 12
Formation energy (no corrections)   -25.9 eV per formula unit
Electronic total energy   -6.369 eV per atom
Volume   23.360 Å³/atom

Here is a relaxed structure of HfZrPt3 from Alexandria via LeMat-Bulk. Energies are from PBE.

```
HfZrPt3
1.0
5.074 0.000 0.000
0.000 4.799 -2.546
0.000 0.842 7.383
Hf Pt Zr
2 6 2
direct
0.750 0.805 0.611 Hf
0.250 0.195 0.389 Hf
0.250 0.113 0.717 Pt
0.750 0.887 0.283 Pt
0.250 0.604 0.717 Pt
0.750 0.396 0.283 Pt
0.000 0.000 0.000 Pt
0.500 0.000 0.000 Pt
0.750 0.433 0.865 Zr
0.250 0.567 0.135 Zr
```

Output
Space-group type   No. 63
Polymorph energy (0 for the lowest one)   0.0 kJ/mol of atoms
Formation enthalpy at 0 K   -0.7222 eV per atom
Electronic total energy   -8.047 eV per atom
Volume   19.066 Å³/atom

Here is a relaxed structure of Li2TbSn4 from Alexandria via LeMat-Bulk. Energies are from PBE.

```
Li2TbSn4
1.0
-5.308 3.064 -0.560
-1.084 -6.055 -0.179
2.650 1.426 5.368
Tb Sn Li
1 4 2
direct
0.000 0.000 0.000 Tb
0.000 0.000 0.500 Sn
0.500 0.500 0.500 Sn
0.500 0.000 0.000 Sn
0.000 0.500 0.000 Sn
0.500 0.500 0.000 Li
0.500 0.000 0.500 Li
```

Output
Space-group type   No. 139
Formation enthalpy at 0 K   -0.3161 eV per atom
Electronic total energy   -3.812 eV per atom
Volume   25.630 Å³/atom

Here is a relaxed structure of KLiSe from Alexandria via LeMat-Bulk. Energies are from PBE.

```
KLiSe
1.0
-0.553 1.975 -3.862
0.719 -4.310 0.168
-4.752 -0.782 0.281
K Se Li
1 1 1
direct
0.000 0.000 0.000 K
0.333 0.667 0.500 Se
0.667 0.333 0.500 Li
```

Output
Space-group type   No. 187
Formation energy (no corrections)   -3.5 eV per formula unit
Electronic total energy   -3.316 eV per atom
Volume   26.631 Å³/atom

Here is a relaxed structure of Dy2Be4Ge3Os from Alexandria via LeMat-Bulk. Energies are from PBE.

```
Dy2Be4Ge3Os
1.0
3.864 0.000 0.000
0.000 3.864 0.000
0.000 0.000 10.058
Be Dy Ge Os
4 2 3 1
direct
0.500 0.000 0.634 Be
0.000 0.500 0.366 Be
0.500 0.500 0.000 Be
0.000 0.000 0.000 Be
0.000 0.500 0.749 Dy
0.500 0.000 0.251 Dy
0.000 0.000 0.500 Ge
0.000 0.500 0.134 Ge
0.500 0.000 0.866 Ge
0.500 0.500 0.500 Os
```

Output
Space-group type   No. 115
Formation enthalpy at 0 K   -0.3715 eV per atom
Electronic total energy   -5.291 eV per atom
Volume   15.015 Å³/atom

Here is a relaxed structure of CuHg2F4 from Alexandria via LeMat-Bulk. Energies are from PBE.

```
CuHg2F4
1.0
-0.379 3.203 3.252
-4.490 0.326 -0.845
1.443 -5.690 2.547
F Hg Cu
4 2 1
direct
0.500 0.000 0.000 F
0.000 0.500 0.000 F
0.177 0.177 0.355 F
0.823 0.823 0.645 F
0.377 0.377 0.753 Hg
0.623 0.623 0.247 Hg
0.000 0.000 0.000 Cu
```

Output
Space-group type   No. 139
Polymorph energy (0 for the lowest one)   7.3 kJ/mol of atoms
Formation energy (no corrections)   -8.1 eV per formula unit
Electronic total energy   -2.902 eV per atom
Volume   16.539 Å³/atom

Here is a relaxed structure of BeGa2BrN from Alexandria via LeMat-Bulk. Energies are from PBE.

```
BeGa2BrN
1.0
-3.427 0.196 -4.207
2.415 -0.124 -1.974
-0.291 -5.422 -0.016
Ga Be N Br
2 1 1 1
direct
0.000 0.000 0.500 Ga
0.500 0.000 0.000 Ga
0.000 0.500 0.000 Be
0.000 0.000 0.000 N
0.500 0.500 0.500 Br
```

Output
Space-group type   No. 123
Formation energy (no corrections)   -0.4 eV per formula unit
Electronic total energy   -4.044 eV per atom
Volume   18.405 Å³/atom

Here is a relaxed structure of KNaBr2 from Alexandria via LeMat-Bulk. Energies are from PBE.

```
KNaBr2
1.0
-1.064 0.843 4.261
-0.561 -3.382 2.871
6.120 -1.409 6.496
Br Na K
2 1 1
direct
0.983 0.983 0.275 Br
0.017 0.017 0.725 Br
0.500 0.500 0.500 Na
0.500 0.500 0.000 K
```

Output
Space-group type   No. 166
Polymorph energy (0 for the lowest one)   0.0 kJ/mol of atoms
Formation energy (no corrections)   -6.6 eV per formula unit
Electronic total energy   -3.082 eV per atom
Volume   32.135 Å³/atom